{"formula": "LiCoN2F", "functional": "GGA+U", "state": "optimized geometry", "dft_energy_ev_per_atom": -4.156, "lattice": [[3.944, 0.000, 0.000], [0.000, 3.944, 0.000], [0.000, 0.000, 3.349]], "species": ["Li", "Co", "N", "N", "F"], "fractional_positions": [[0.000, 0.000, 0.000], [0.500, 0.500, 0.500], [0.000, 0.500, 0.000], [0.500, 0.000, 0.000], [0.000, 0.000, 0.500]]}